[1]
VASP calculation (PBE) on a relaxed NaTb2PuTe4 crystal.

The structure in POSCAR format:
```
NaTb2PuTe4
1.0
7.665 0.000 0.000
0.000 4.398 0.000
-2.539 0.000 7.315
Na Tb Pu Te
1 2 1 4
direct
0.000 0.000 0.000 Na
0.000 0.500 0.500 Tb
0.500 0.000 0.500 Tb
0.500 0.500 0.000 Pu
0.248 0.000 0.745 Te
0.252 0.500 0.257 Te
0.748 0.500 0.743 Te
0.752 0.000 0.255 Te
```

**Uncorrected formation energy**: -1.259 eV per atom
**Theoretical density**: 7.37 Mg/m³
**Final energy**: -5.944 eV/atom
**Calculated volume**: 30.83 Å³ per atom

=====

[2]
VASP calculation (PBE) on a relaxed Ca2Pm2Cd3 crystal.

The structure in POSCAR format:
```
Ca2Pm2Cd3
1.0
2.681 1.548 8.756
-2.681 1.548 8.756
0.000 -3.096 8.756
Ca Pm Cd
2 2 3
direct
0.128 0.128 0.128 Ca
0.872 0.872 0.872 Ca
0.380 0.380 0.380 Pm
0.620 0.620 0.620 Pm
0.000 0.000 0.000 Cd
0.255 0.255 0.255 Cd
0.745 0.745 0.745 Cd
```

**Theoretical density**: 5.39 Mg/m³
**Final energy**: -2.544 eV/atom
**Formation energy from the elements**: -223 meV/atom
**Calculated volume**: 31.14 Å³ per atom

=====

[3]
VASP calculation (PBE) on a relaxed V2Cu3Pd6 crystal.

The structure in POSCAR format:
```
V2Cu3Pd6
1.0
4.531 0.000 0.000
2.256 4.532 0.000
0.001 1.806 15.614
V Cu Pd
4 6 12
direct
0.242 0.499 0.000 V
0.242 0.499 0.500 V
0.758 0.501 0.000 V
0.758 0.501 0.500 V
0.217 0.063 0.215 Cu
0.220 0.063 0.715 Cu
0.498 0.500 0.750 Cu
0.502 0.500 0.250 Cu
0.780 0.937 0.285 Cu
0.783 0.937 0.785 Cu
0.053 0.391 0.852 Pd
0.054 0.390 0.352 Pd
0.268 0.962 0.055 Pd
0.269 0.962 0.555 Pd
0.353 0.792 0.374 Pd
0.355 0.793 0.874 Pd
0.645 0.207 0.126 Pd
0.647 0.208 0.626 Pd
0.731 0.038 0.445 Pd
0.732 0.038 0.945 Pd
0.946 0.610 0.648 Pd
0.947 0.609 0.148 Pd
```

**Theoretical density**: 9.64 Mg/m³
**Final energy**: -5.650 eV/atom
**Formation energy from the elements**: -42 meV/atom
**Calculated volume**: 14.57 Å³ per atom